A relaxed structure of PrEuTm4. Source: Alexandria via LeMat-Bulk, functional GGA-PBE.

Cell and atoms, written as POSCAR:
```
PrEuTm4
1.0
6.675 0.000 0.000
3.337 5.780 0.000
3.337 1.927 5.450
Eu Pr Tm
1 1 4
Direct
0.250 0.250 0.250
0.000 0.000 0.000
0.626 0.626 0.123
0.626 0.123 0.626
0.626 0.626 0.626
0.123 0.626 0.626
```

Properties
energy of formation: 0.259 eV per atom



A relaxed structure of PrEuTm. Source: Alexandria via LeMat-Bulk, functional GGA-PBE.

Cell and atoms, written as POSCAR:
```
PrEuTm
1.0
-3.258 1.600 0.571
0.159 -3.424 -1.324
-0.126 -3.262 8.422
Eu Pr Tm
1 1 1
Direct
0.000 0.000 0.007
0.333 0.667 0.653
0.667 0.333 0.341
```

Properties
energy of formation: 0.051 eV per atom



A relaxed structure of PrEuYTm. Source: Alexandria via LeMat-Bulk, functional GGA-PBE.

Cell and atoms, written as POSCAR:
```
PrEuYTm
1.0
-4.160 -3.471 2.077
1.029 -3.291 4.666
-2.565 1.247 5.053
Eu Pr Tm Y
1 1 1 1
Direct
0.500 0.500 0.500
0.250 0.250 0.250
0.000 0.000 0.000
0.750 0.750 0.750
```

Properties
energy of formation: 0.142 eV per atom



A relaxed structure of Pr4EuY. Source: Alexandria via LeMat-Bulk, functional GGA-PBE.

Cell and atoms, written as POSCAR:
```
Pr4EuY
1.0
6.861 0.000 0.000
3.431 5.942 0.000
3.431 1.981 5.602
Eu Pr Y
1 4 1
Direct
0.250 0.250 0.250
0.627 0.627 0.118
0.627 0.118 0.627
0.627 0.627 0.627
0.118 0.627 0.627
0.000 0.000 0.000
```

Properties
energy of formation: 0.217 eV per atom



A relaxed structure of PrEuY2. Source: Alexandria via LeMat-Bulk, functional GGA-PBE.

Cell and atoms, written as POSCAR:
```
PrEuY2
1.0
3.673 0.000 0.000
1.837 3.181 0.000
1.837 1.060 11.970
Eu Pr Y
1 1 2
Direct
0.000 0.000 0.000
0.500 0.500 0.500
0.752 0.752 0.743
0.248 0.248 0.257
```

Properties
energy relative to the lowest polymorph listed for this composition: 0 meV/atom
energy of formation: 0.049 eV per atom



A relaxed structure of PrEuY2. Source: Alexandria via LeMat-Bulk, functional GGA-PBE.

Cell and atoms, written as POSCAR:
```
PrEuY2
1.0
5.171 0.000 0.000
0.000 5.187 0.000
0.000 0.000 5.187
Eu Pr Y
1 1 2
Direct
0.500 0.000 0.000
0.500 0.500 0.500
0.000 0.000 0.500
0.000 0.500 0.000
```

Properties
energy relative to the lowest polymorph listed for this composition: 31 meV/atom
energy of formation: 0.080 eV per atom



A relaxed structure of PrEuY2. Source: Alexandria via LeMat-Bulk, functional GGA-PBE.

Cell and atoms, written as POSCAR:
```
PrEuY2
1.0
5.831 0.000 0.000
2.916 5.050 0.000
2.916 1.683 4.761
Eu Pr Y
1 1 2
Direct
0.000 0.000 0.000
0.500 0.500 0.500
0.250 0.250 0.250
0.750 0.750 0.750
```

Properties
energy relative to the lowest polymorph listed for this composition: 86 meV/atom
energy of formation: 0.135 eV per atom



A relaxed structure of PrEuY2. Source: Alexandria via LeMat-Bulk, functional GGA-PBE.

Cell and atoms, written as POSCAR:
```
PrEuY2
1.0
-0.058 0.576 3.649
3.590 -0.851 0.192
2.438 9.937 -1.530
Eu Pr Y
1 1 2
Direct
0.500 0.500 0.500
0.500 0.500 0.000
0.000 0.000 0.239
0.000 0.000 0.761
```

Properties
energy relative to the lowest polymorph listed for this composition: 12 meV/atom
energy of formation: 0.061 eV per atom



The lowest energy of formation belongs to which entry?
number 5



Look up the energy of formation of the fourth one.
0.217 eV per atom



Which value of energy of formation does entry 4 give?
0.217 eV per atom



Please write out number 5 again, unchanged.
A relaxed structure of PrEuY2. Source: Alexandria via LeMat-Bulk, functional GGA-PBE.

Cell and atoms, written as POSCAR:
```
PrEuY2
1.0
3.673 0.000 0.000
1.837 3.181 0.000
1.837 1.060 11.970
Eu Pr Y
1 1 2
Direct
0.000 0.000 0.000
0.500 0.500 0.500
0.752 0.752 0.743
0.248 0.248 0.257
```

Properties
energy relative to the lowest polymorph listed for this composition: 0 meV/atom
energy of formation: 0.049 eV per atom